VASP calculation (PBE) on an optimized crystal structure of SnPt9.

Calculated total energy ... -5.842 eV/atom
Volume ... 21.05 Å³ per atom

CIF file:
```
data_SnPt9
_chemical_formula_sum 'Sn2 Pt18'
_cell_length_a 2.869
_cell_length_b 2.869
_cell_length_c 51.154
_cell_angle_alpha 90.00
_cell_angle_beta 90.00
_cell_angle_gamma 90.00
_space_group_name_H-M_alt 'P 1'
_space_group_IT_number 1
_space_group_name_Hall 'P 1'
loop_
_atom_site_label
_atom_site_fract_x
_atom_site_fract_y
_atom_site_fract_z
Pt1 0.500 0.000 0.180
Pt2 0.000 0.500 0.219
Pt3 0.500 0.000 0.257
Pt4 0.000 0.500 0.295
Pt5 0.500 0.000 0.332
Pt6 0.000 0.500 0.369
Pt7 0.500 0.000 0.407
Pt8 0.000 0.500 0.444
Pt9 0.500 0.000 0.481
Pt10 0.000 0.500 0.519
Pt11 0.500 0.000 0.556
Pt12 0.000 0.500 0.593
Pt13 0.500 0.000 0.631
Pt14 0.000 0.500 0.668
Pt15 0.500 0.000 0.705
Pt16 0.000 0.500 0.743
Pt17 0.500 0.000 0.781
Pt18 0.000 0.500 0.820
Sn1 0.000 0.500 0.139
Sn2 0.500 0.000 0.861
```

=====

VASP calculation (PBE) on an optimized crystal structure of Sn4Pt.

Calculated total energy ... -4.698 eV/atom
Volume ... 24.47 Å³ per atom

CIF file:
```
data_Sn4Pt
_chemical_formula_sum 'Sn8 Pt2'
_cell_length_a 6.490
_cell_length_b 6.639
_cell_length_c 6.639
_cell_angle_alpha 58.82
_cell_angle_beta 90.00
_cell_angle_gamma 90.00
_space_group_name_H-M_alt 'P 1'
_space_group_IT_number 1
_space_group_name_Hall 'P 1'
loop_
_atom_site_label
_atom_site_fract_x
_atom_site_fract_y
_atom_site_fract_z
Pt1 0.000 0.003 0.003
Pt2 0.500 0.503 0.503
Sn1 0.667 0.711 0.044
Sn2 0.167 0.544 0.211
Sn3 0.333 0.963 0.296
Sn4 0.833 0.796 0.463
Sn5 0.833 0.211 0.544
Sn6 0.333 0.044 0.711
Sn7 0.167 0.463 0.796
Sn8 0.667 0.296 0.963
```

=====

VASP calculation (PBE) on an optimized crystal structure of SnPt10.

Calculated total energy ... -5.908 eV/atom
Volume ... 24.96 Å³ per atom

CIF file:
```
data_SnPt10
_chemical_formula_sum 'Sn2 Pt20'
_cell_length_a 4.793
_cell_length_b 4.793
_cell_length_c 31.805
_cell_angle_alpha 90.06
_cell_angle_beta 90.06
_cell_angle_gamma 48.72
_space_group_name_H-M_alt 'P 1'
_space_group_IT_number 1
_space_group_name_Hall 'P 1'
loop_
_atom_site_label
_atom_site_fract_x
_atom_site_fract_y
_atom_site_fract_z
Pt1 0.148 0.148 0.228
Pt2 0.451 0.451 0.256
Pt3 0.751 0.751 0.286
Pt4 0.053 0.053 0.315
Pt5 0.353 0.353 0.343
Pt6 0.652 0.652 0.373
Pt7 0.951 0.951 0.400
Pt8 0.251 0.251 0.429
Pt9 0.550 0.550 0.458
Pt10 0.850 0.850 0.486
Pt11 0.150 0.150 0.514
Pt12 0.450 0.450 0.542
Pt13 0.749 0.749 0.571
Pt14 0.049 0.049 0.600
Pt15 0.348 0.348 0.627
Pt16 0.647 0.647 0.657
Pt17 0.947 0.947 0.685
Pt18 0.249 0.249 0.714
Pt19 0.549 0.549 0.744
Pt20 0.852 0.852 0.772
Sn1 0.845 0.845 0.200
Sn2 0.155 0.155 0.800
```

=====

VASP calculation (PBE) on an optimized crystal structure of SnPt2.

Calculated total energy ... -3.797 eV/atom
Volume ... 66.17 Å³ per atom

CIF file:
```
data_SnPt2
_chemical_formula_sum 'Sn2 Pt4'
_cell_length_a 8.250
_cell_length_b 8.250
_cell_length_c 8.250
_cell_angle_alpha 60.00
_cell_angle_beta 60.00
_cell_angle_gamma 60.00
_space_group_name_H-M_alt 'P 1'
_space_group_IT_number 1
_space_group_name_Hall 'P 1'
loop_
_atom_site_label
_atom_site_fract_x
_atom_site_fract_y
_atom_site_fract_z
Pt1 0.375 0.375 0.375
Pt2 0.875 0.375 0.375
Pt3 0.375 0.875 0.375
Pt4 0.375 0.375 0.875
Sn1 0.250 0.250 0.250
Sn2 0.500 0.500 0.500
```

=====

VASP calculation (PBE) on an optimized crystal structure of SnPt.

Calculated total energy ... -5.248 eV/atom
Volume ... 19.30 Å³ per atom

CIF file:
```
data_SnPt
_chemical_formula_sum 'Sn1 Pt1'
_cell_length_a 3.337
_cell_length_b 3.337
_cell_length_c 4.003
_cell_angle_alpha 90.00
_cell_angle_beta 90.00
_cell_angle_gamma 120.00
_space_group_name_H-M_alt 'P 1'
_space_group_IT_number 1
_space_group_name_Hall 'P 1'
loop_
_atom_site_label
_atom_site_fract_x
_atom_site_fract_y
_atom_site_fract_z
Pt1 0.667 0.333 0.750
Sn1 0.333 0.667 0.250
```

=====

VASP calculation (PBE) on an optimized crystal structure of SnPt9.

Calculated total energy ... -5.877 eV/atom
Volume ... 23.37 Å³ per atom

CIF file:
```
data_SnPt9
_chemical_formula_sum 'Sn2 Pt18'
_cell_length_a 2.858
_cell_length_b 3.923
_cell_length_c 41.705
_cell_angle_alpha 90.00
_cell_angle_beta 90.00
_cell_angle_gamma 90.00
_space_group_name_H-M_alt 'P 1'
_space_group_IT_number 1
_space_group_name_Hall 'P 1'
loop_
_atom_site_label
_atom_site_fract_x
_atom_site_fract_y
_atom_site_fract_z
Pt1 0.000 0.000 0.017
Pt2 0.500 0.500 0.050
Pt3 0.000 0.000 0.084
Pt4 0.500 0.500 0.117
Pt5 0.000 0.000 0.151
Pt6 0.500 0.500 0.184
Pt7 0.000 0.000 0.218
Pt8 0.500 0.500 0.252
Pt9 0.000 0.000 0.287
Pt10 0.500 0.500 0.713
Pt11 0.000 0.000 0.748
Pt12 0.500 0.500 0.782
Pt13 0.000 0.000 0.816
Pt14 0.500 0.500 0.849
Pt15 0.000 0.000 0.883
Pt16 0.500 0.500 0.916
Pt17 0.000 0.000 0.950
Pt18 0.500 0.500 0.983
Sn1 0.500 0.500 0.323
Sn2 0.000 0.000 0.677
```

=====

VASP calculation (PBE) on an optimized crystal structure of SnPt.

Calculated total energy ... -5.180 eV/atom
Volume ... 27.39 Å³ per atom

CIF file:
```
data_SnPt
_chemical_formula_sum 'Sn1 Pt1'
_cell_length_a 4.263
_cell_length_b 4.263
_cell_length_c 4.263
_cell_angle_alpha 60.00
_cell_angle_beta 60.00
_cell_angle_gamma 60.00
_space_group_name_H-M_alt 'P 1'
_space_group_IT_number 1
_space_group_name_Hall 'P 1'
loop_
_atom_site_label
_atom_site_fract_x
_atom_site_fract_y
_atom_site_fract_z
Pt1 0.000 0.000 0.000
Sn1 0.250 0.250 0.250
```

=====

VASP calculation (PBE) on an optimized crystal structure of Sn2Pt7.

Calculated total energy ... -5.523 eV/atom
Volume ... 26.91 Å³ per atom

CIF file:
```
data_Sn2Pt7
_chemical_formula_sum 'Sn2 Pt7'
_cell_length_a 2.939
_cell_length_b 2.939
_cell_length_c 32.376
_cell_angle_alpha 90.00
_cell_angle_beta 90.00
_cell_angle_gamma 120.00
_space_group_name_H-M_alt 'P 1'
_space_group_IT_number 1
_space_group_name_Hall 'P 1'
loop_
_atom_site_label
_atom_site_fract_x
_atom_site_fract_y
_atom_site_fract_z
Pt1 0.000 0.000 0.295
Pt2 0.667 0.333 0.365
Pt3 0.333 0.667 0.433
Pt4 0.000 0.000 0.500
Pt5 0.667 0.333 0.567
Pt6 0.333 0.667 0.635
Pt7 0.000 0.000 0.705
Sn1 0.333 0.667 0.224
Sn2 0.667 0.333 0.776
```